The following is a GGA-PBE calculation of RbBF6 after structural relaxation, from Alexandria.

a = 4.9280 Å, b = 4.9280 Å, c = 4.9634 Å
α = 96.72°, β = 96.72°, γ = 97.06°
Sites, in units of the cell vectors:
Rb  0.0000  0.0000  0.0000
B  0.5000  0.5000  0.5000
F  0.2741  0.2741  0.5780
F  0.2759  0.5798  0.2763
F  0.4202  0.7241  0.7237
F  0.5798  0.2759  0.2763
F  0.7241  0.4202  0.7237
F  0.7259  0.7259  0.4220

Summary:
- DFT total energy: -4.17 eV/atom
- Density: 2966 kg/m³

=====

The following is a GGA-PBE calculation of NaBeI3 after structural relaxation, from Alexandria.

a = 5.4544 Å, b = 5.4544 Å, c = 5.4544 Å
α = 90.00°, β = 90.00°, γ = 90.00°
Sites, in units of the cell vectors:
Na  0.0000  0.0000  0.0000
Be  0.5000  0.5000  0.5000
I  0.0000  0.5000  0.5000
I  0.5000  0.0000  0.5000
I  0.5000  0.5000  0.0000

Summary:
- Relative energy among the computed polymorphs: 381.2 meV/atom
- Density: 4223 kg/m³

=====

Among the records above, which one has the highest density? NaBeI3

=====

density of number 1 (RbBF6)? 2966 kg/m³

=====

Which of these has the highest density? NaBeI3